The following is a PBE calculation of a geometry-optimized TbY4Sc5 structure, from Alexandria via LeMat-Bulk. Values from VASP.

Its formation energy is 232 meV per atom. The density of states at the Fermi level is 15.31 states/eV per cell. Its total magnetization is 0.00 μB/cell. For the total DFT energy (no corrections), the calculation gives -5.983 eV/atom. The volume is 292 Å³ per cell. The energy above the most stable polymorph in this dataset is 1.40 eV/f.u.

Geometry as Quantum ESPRESSO input:
```
&SYSTEM
  ibrav = 0, nat = 10, ntyp = 3
/
ATOMIC_SPECIES
Tb 158.93 Tb.upf
Y 88.91 Y.upf
Sc 44.96 Sc.upf
ATOMIC_POSITIONS crystal
Tb 0.0000 0.0000 0.0000
Y 0.2496 0.5688 0.3192
Y 0.2496 0.9304 0.6808
Y 0.5688 0.2496 0.3192
Y 0.9304 0.2496 0.6808
Sc 0.4795 0.4795 0.0000
Sc 0.5398 0.5398 0.6216
Sc 0.5398 0.9182 0.0000
Sc 0.9182 0.5398 0.0000
Sc 0.9182 0.9182 0.3784
CELL_PARAMETERS angstrom
-5.0916 5.0916 2.8152
5.0916 -5.0916 2.8152
5.0916 5.0916 -2.8152
```